No. 1
## CaPrYLu (PBE)

Data for a relaxed structure of CaPrYLu.

Calculated values
Electronic total energy = -4.3209 eV per atom
D(E_F) = 25.277 states/eV per cell
Formation energy = 121 meV per atom
Magnetization = 0.00 μB per formula unit

Lattice parameters (Å, degrees): 8.1756 8.1756 8.1756 90.00 90.00 90.00
Last column: nearest neighbours and their distance in Å.
Space group F-43m (No. 216)
Unique sites:
Ca 0.0000 0.0000 0.0000 [4 per cell]  4 Pr 3.54, 4 Y 3.54
Pr 0.2500 0.2500 0.7500 [4 per cell]  4 Ca 3.54, 4 Lu 3.54
Y 0.2500 0.2500 0.2500 [4 per cell]  4 Lu 3.54, 4 Ca 3.54
Lu 0.0000 0.0000 0.5000 [4 per cell]  4 Pr 3.54, 4 Y 3.54

No. 2
## CaLuPt2 (PBE)

Data for a relaxed structure of CaLuPt2.

Calculated values
Electronic total energy = -5.8026 eV per atom
D(E_F) = 0.923 states/eV per cell
Formation energy = -1152 meV per atom
Distance to the lowest polymorph of the same formula = 0.0 meV per atom
Magnetization = 0.00 μB per formula unit

Lattice parameters (Å, degrees): 3.4309 3.4309 7.0250 90.00 90.00 90.00
Last column: nearest neighbours and their distance in Å.
Space group P4/mmm (No. 123)
Unique sites:
Ca 0.0000 0.0000 0.0000 [1 per cell]  8 Pt 3.10, 4 Ca 3.43
Lu 0.0000 0.0000 0.5000 [1 per cell]  8 Pt 2.90
Pt 0.5000 0.5000 0.2744 [2 per cell]  4 Lu 2.90, 4 Ca 3.10, 1 Pt 3.17